Entry 1:
VASP calculation (PBE) on a relaxed CsSrTeF2 crystal.

Cell: 5.211 5.211 6.224 Å, 90.00 90.00 90.00°
Sites, in units of the cell vectors:
Cs 0.000 0.000 0.000
Sr 0.500 0.500 0.500
Te 0.000 0.000 0.500
F 0.000 0.500 0.000
F 0.500 0.000 0.000

Crystal system: tetragonal
Formation energy from raw total energies (eV per atom): -1.5851
DOS at the Fermi energy (states/eV per atom): 0.35
M_tot (μB/f.u.): 0.00


Entry 2:
VASP calculation (PBE) on a relaxed CsSrTlF6 crystal.

Cell: 8.038 8.038 8.038 Å, 119.26 118.62 91.85°
Sites, in units of the cell vectors:
Cs 0.392 0.142 0.250
Cs 0.608 0.858 0.750
Sr 0.000 0.000 0.500
Sr 0.000 0.500 0.000
Tl 0.000 0.500 0.500
Tl 0.500 0.500 0.000
F 0.112 0.862 0.250
F 0.160 0.447 0.337
F 0.160 0.823 0.713
F 0.161 0.411 0.750
F 0.390 0.177 0.837
F 0.390 0.553 0.213
F 0.610 0.447 0.787
F 0.610 0.823 0.163
F 0.839 0.589 0.250
F 0.840 0.177 0.287
F 0.840 0.553 0.663
F 0.888 0.138 0.750

Crystal system: orthorhombic
Formation energy from raw total energies (eV per atom): -2.7587
DOS at the Fermi energy (states/eV per atom): 0.00
M_tot (μB/f.u.): 0.11


Entry 3:
VASP calculation (PBE) on a relaxed CsSrTmF6 crystal.

Cell: 8.078 8.078 8.078 Å, 119.12 118.88 91.74°
Sites, in units of the cell vectors:
Cs 0.356 0.106 0.250
Cs 0.644 0.894 0.750
Sr 0.000 0.500 0.500
Sr 0.500 0.500 0.000
Tm 0.000 0.000 0.500
Tm 0.000 0.500 0.000
F 0.050 0.352 0.169
F 0.050 0.881 0.698
F 0.057 0.307 0.750
F 0.317 0.119 0.669
F 0.317 0.648 0.198
F 0.357 0.607 0.750
F 0.643 0.393 0.250
F 0.683 0.352 0.802
F 0.683 0.881 0.331
F 0.943 0.693 0.250
F 0.950 0.119 0.302
F 0.950 0.648 0.831

Crystal system: orthorhombic
Formation energy from raw total energies (eV per atom): -3.7512
DOS at the Fermi energy (states/eV per atom): 0.00
M_tot (μB/f.u.): 0.15


Entry 4:
VASP calculation (PBE) on a relaxed Cs2Sr3UF12 crystal.

Cell: 8.906 8.906 8.906 Å, 57.54 57.54 57.54°
Sites, in units of the cell vectors:
Cs 0.086 0.086 0.086
Cs 0.914 0.914 0.914
Sr 0.000 0.500 0.500
Sr 0.500 0.000 0.500
Sr 0.500 0.500 0.000
U 0.500 0.500 0.500
F 0.164 0.164 0.589
F 0.164 0.589 0.164
F 0.206 0.559 0.559
F 0.411 0.836 0.836
F 0.441 0.441 0.794
F 0.441 0.794 0.441
F 0.559 0.206 0.559
F 0.559 0.559 0.206
F 0.589 0.164 0.164
F 0.794 0.441 0.441
F 0.836 0.411 0.836
F 0.836 0.836 0.411

Crystal system: trigonal
Formation energy from raw total energies (eV per atom): -3.5265
DOS at the Fermi energy (states/eV per atom): 0.47
M_tot (μB/f.u.): 2.00